[1]
Computed, not measured: an optimized crystal structure of Tl5HgSe4 at the PBE level of DFT.

Computed properties:
formation energy (no corrections): -0.25 eV/atom
DOS at the Fermi energy: 0.356 states/eV/atom
E above lowest polymorph: 0.018 eV per atom
energy: -0.21035 Ry/atom

abc: 4.200 8.028 10.219
angles: 109.29 101.86 90.00
Element x y z (fractional)
Tl  0.182  0.343  0.363
Tl  0.167  0.804  0.334
Tl  0.833  0.196  0.666
Tl  0.500  0.500  0.000
Tl  0.818  0.657  0.637
Hg  0.500  0.000  0.000
Se  0.667  0.068  0.335
Se  0.022  0.246  0.043
Se  0.333  0.932  0.665
Se  0.978  0.754  0.957


[2]
Computed, not measured: an optimized crystal structure of Sm2Tm8Sc3 at the PBE level of DFT.

Computed properties:
DOS at the Fermi energy: 1.758 states/eV/atom
E above lowest polymorph: 0.000 eV per atom
energy: -0.35722 Ry/atom

abc: 5.628 6.137 11.890
angles: 71.14 97.70 87.80
Element x y z (fractional)
Sm  0.754  0.830  0.508
Sm  0.246  0.170  0.492
Tm  0.117  0.393  0.160
Tm  0.883  0.607  0.840
Tm  0.191  0.778  0.322
Tm  0.809  0.222  0.678
Tm  0.351  0.949  0.802
Tm  0.297  0.561  0.650
Tm  0.703  0.439  0.350
Tm  0.649  0.051  0.198
Sc  0.000  0.000  0.000
Sc  0.436  0.320  0.936
Sc  0.564  0.680  0.064


[3]
Computed, not measured: an optimized crystal structure of TaVS at the PBE level of DFT.

Computed properties:
formation energy (no corrections): -0.27 eV/atom
DOS at the Fermi energy: 0.714 states/eV/atom
E above lowest polymorph: 0.325 eV per atom
energy: -0.63476 Ry/atom

abc: 2.894 2.894 5.649
angles: 104.84 104.84 90.00
Element x y z (fractional)
S  0.645  0.645  0.291
V  0.032  0.032  0.064
Ta  0.323  0.323  0.646


[4]
Computed, not measured: an optimized crystal structure of PrSmHoSn at the PBE level of DFT.

Computed properties:
DOS at the Fermi energy: 1.649 states/eV/atom
energy: -0.35117 Ry/atom

abc: 5.517 5.517 5.517
angles: 60.00 60.00 60.00
Element x y z (fractional)
Pr  0.250  0.250  0.250
Ho  0.000  0.000  0.000
Sm  0.750  0.750  0.750
Sn  0.500  0.500  0.500


[5]
Computed, not measured: an optimized crystal structure of La3Cu at the PBE level of DFT.

Computed properties:
DOS at the Fermi energy: 1.679 states/eV/atom
energy: -0.33449 Ry/atom

abc: 5.412 5.412 5.412
angles: 60.00 60.00 60.00
Each line ends with the local moment (μB).
Element x y z (fractional)
Cu  0.000  0.000  0.000  0.01
La  0.750  0.750  0.750  0.19
La  0.500  0.500  0.500  0.32
La  0.250  0.250  0.250  0.19


[6]
Computed, not measured: an optimized crystal structure of IrC at the PBE level of DFT.

Computed properties:
DOS at the Fermi energy: 0.634 states/eV/atom
E above lowest polymorph: 1.211 eV per atom
energy: -0.54193 Ry/atom

abc: 2.726 2.726 2.726
angles: 90.00 90.00 90.00
Element x y z (fractional)
C  0.000  0.000  0.000
Ir  0.500  0.500  0.500


[7]
Computed, not measured: an optimized crystal structure of CoW2 at the PBE level of DFT.

Computed properties:
DOS at the Fermi energy: 0.754 states/eV/atom
E above lowest polymorph: 0.189 eV per atom
energy: -0.79431 Ry/atom

abc: 6.177 6.177 3.824
angles: 90.00 90.00 143.78
Element x y z (fractional)
Co  0.924  0.076  0.250
Co  0.076  0.924  0.750
W  0.575  0.425  0.250
W  0.425  0.575  0.750
W  0.254  0.746  0.250
W  0.746  0.254  0.750


[8]
Computed, not measured: an optimized crystal structure of DyYBeIn at the PBE level of DFT.

Computed properties:
DOS at the Fermi energy: 0.915 states/eV/atom
energy: -0.33202 Ry/atom

abc: 5.119 5.119 5.119
angles: 60.00 60.00 60.00
Element x y z (fractional)
Y  0.250  0.250  0.250
Be  0.000  0.000  0.000
In  0.500  0.500  0.500
Dy  0.750  0.750  0.750


[9]
Computed, not measured: an optimized crystal structure of ZrReBr3 at the PBE level of DFT.

Computed properties:
formation energy (no corrections): 0.60 eV/atom
DOS at the Fermi energy: 0.810 states/eV/atom
E above lowest polymorph: 0.000 eV per atom
energy: -0.33796 Ry/atom

abc: 5.371 5.371 5.371
angles: 90.00 90.00 90.00
Each line ends with the local moment (μB).
Element x y z (fractional)
Re  0.500  0.500  0.500  4.20
Br  0.000  0.500  0.000  0.05
Br  0.000  0.000  0.500  0.04
Br  0.500  0.000  0.000  0.04
Zr  0.000  0.000  0.000  -0.35


[10]
Computed, not measured: an optimized crystal structure of CeHo4Er3Se8 at the PBE level of DFT.

Computed properties:
formation energy (no corrections): -1.72 eV/atom
DOS at the Fermi energy: 0.787 states/eV/atom
energy: -0.42897 Ry/atom

abc: 8.132 8.131 8.133
angles: 120.01 120.00 90.00
Each line ends with the local moment (μB).
Element x y z (fractional)
Ce  0.000  0.500  0.000  -0.47
Ho  0.500  0.000  0.000  0.01
Ho  0.500  0.000  0.500  -0.01
Ho  0.000  0.000  0.000  -0.01
Ho  0.000  0.000  0.500  -0.01
Er  0.500  0.500  0.000  -0.01
Er  0.500  0.500  0.500  -0.01
Er  0.000  0.500  0.500  -0.01
Se  0.253  0.753  0.999  0.00
Se  0.254  0.753  0.508  0.00
Se  0.251  0.252  0.502  0.00
Se  0.745  0.753  0.999  0.00
Se  0.255  0.247  0.001  0.00
Se  0.749  0.748  0.498  0.00
Se  0.746  0.247  0.492  0.00
Se  0.747  0.247  0.001  0.00


[11]
Computed, not measured: an optimized crystal structure of LiTcPCl2 at the PBE level of DFT.

Computed properties:
formation energy (no corrections): -0.23 eV/atom
DOS at the Fermi energy: 0.598 states/eV/atom
E above lowest polymorph: 0.000 eV per atom
energy: -0.33095 Ry/atom

abc: 5.054 5.054 4.528
angles: 90.00 90.00 90.00
Each line ends with the local moment (μB).
Element x y z (fractional)
P  0.000  0.000  0.500  -0.01
Li  0.500  0.500  0.500  0.00
Tc  0.000  0.000  0.000  1.20
Cl  0.000  0.500  0.000  0.02
Cl  0.500  0.000  0.000  0.02


[12]
Computed, not measured: an optimized crystal structure of ScSi2Mo at the PBE level of DFT.

Computed properties:
formation energy (no corrections): -0.54 eV/atom
DOS at the Fermi energy: 0.546 states/eV/atom
E above lowest polymorph: 0.000 eV per atom
energy: -0.55419 Ry/atom

abc: 5.133 5.127 9.855
angles: 90.00 104.77 90.00
Element x y z (fractional)
Sc  0.949  0.622  0.647
Sc  0.051  0.378  0.353
Sc  0.551  0.622  0.853
Sc  0.449  0.378  0.147
Si  0.912  0.360  0.073
Si  0.088  0.640  0.927
Si  0.588  0.360  0.427
Si  0.412  0.640  0.573
Si  0.580  0.121  0.909
Si  0.420  0.879  0.091
Si  0.920  0.121  0.591
Si  0.080  0.879  0.409
Mo  0.567  0.865  0.365
Mo  0.433  0.135  0.635
Mo  0.933  0.865  0.135
Mo  0.067  0.135  0.865


Question: The highest DOS at the Fermi energy belongs to which entry?
Answer: Sm2Tm8Sc3


Question: Which value of DOS at the Fermi energy does entry 7 give?
Answer: 0.754 states/eV/atom